Entry 1:
ReNi2AsPb after structural relaxation, computed with PBE-GGA. Values from VASP.

Geometry as Quantum ESPRESSO input:
```
&SYSTEM
  ibrav = 0, nat = 5, ntyp = 4
/
ATOMIC_SPECIES
Pb 207.20 Pb.upf
Re 186.21 Re.upf
Ni 58.69 Ni.upf
As 74.92 As.upf
CELL_PARAMETERS angstrom
4.301 0.000 0.000
0.000 5.563 0.000
0.000 0.000 4.301
ATOMIC_POSITIONS angstrom
Pb 0.000 2.781 0.000
Re 2.151 2.781 2.151
Ni 0.000 0.000 2.151
Ni 2.151 0.000 0.000
As 0.000 0.000 0.000
```

* formation energy: 1.284 eV/atom

Entry 2:
Mg2TlCd after structural relaxation, computed with PBE-GGA. Values from VASP.

Geometry as Quantum ESPRESSO input:
```
&SYSTEM
  ibrav = 0, nat = 4, ntyp = 3
/
ATOMIC_SPECIES
Mg 24.30 Mg.upf
Tl 204.38 Tl.upf
Cd 112.41 Cd.upf
CELL_PARAMETERS angstrom
3.407 0.052 0.000
-0.053 3.407 0.000
0.000 0.000 8.100
ATOMIC_POSITIONS angstrom
Mg 0.000 0.000 7.982
Mg 0.000 0.000 4.169
Tl 1.677 1.730 2.025
Cd 1.677 1.730 6.075
```

* formation energy: -0.051 eV/atom

Entry 3:
Bi3OsAu after structural relaxation, computed with PBE-GGA. Values from VASP.

Geometry as Quantum ESPRESSO input:
```
&SYSTEM
  ibrav = 0, nat = 5, ntyp = 3
/
ATOMIC_SPECIES
Bi 208.98 Bi.upf
Os 190.23 Os.upf
Au 196.97 Au.upf
CELL_PARAMETERS angstrom
-4.780 1.324 1.850
-1.231 -5.126 0.485
1.913 0.008 4.936
ATOMIC_POSITIONS angstrom
Bi -2.390 0.662 0.925
Bi -0.616 -2.563 0.243
Bi 0.956 0.004 2.468
Os 0.000 0.000 0.000
Au -2.049 -1.897 3.636
```

* formation energy: 0.787 eV/atom

Entry 4:
Nd2PdCl after structural relaxation, computed with PBE-GGA. Values from VASP.

Geometry as Quantum ESPRESSO input:
```
&SYSTEM
  ibrav = 0, nat = 4, ntyp = 3
/
ATOMIC_SPECIES
Pd 106.42 Pd.upf
Nd 144.24 Nd.upf
Cl 35.45 Cl.upf
CELL_PARAMETERS angstrom
-0.163 -0.108 -3.429
1.619 -2.495 -1.718
-7.742 -6.601 -1.143
ATOMIC_POSITIONS angstrom
Pd 0.000 0.000 0.000
Nd -0.743 -4.135 -4.994
Nd -5.544 -5.069 -1.296
Cl -3.143 -4.602 -3.145
```

* formation energy without anion corrections: -581 meV/atom

Entry 5:
Tb2PO after structural relaxation, computed with PBE-GGA. Values from VASP.

Geometry as Quantum ESPRESSO input:
```
&SYSTEM
  ibrav = 0, nat = 4, ntyp = 3
/
ATOMIC_SPECIES
O 16.00 O.upf
P 30.97 P.upf
Tb 158.93 Tb.upf
CELL_PARAMETERS angstrom
3.759 0.000 0.000
1.879 3.255 0.000
1.879 1.085 6.041
ATOMIC_POSITIONS angstrom
O 3.759 2.170 3.020
P 0.000 0.000 0.000
Tb 1.879 1.085 1.661
Tb 5.638 3.255 4.380
```

* formation energy without anion corrections: -2135 meV/atom

Entry 6:
DySc2Ag4 after structural relaxation, computed with PBE-GGA. Values from VASP.

Geometry as Quantum ESPRESSO input:
```
&SYSTEM
  ibrav = 0, nat = 7, ntyp = 3
/
ATOMIC_SPECIES
Ag 107.87 Ag.upf
Dy 162.50 Dy.upf
Sc 44.96 Sc.upf
CELL_PARAMETERS angstrom
5.686 0.247 -1.850
-2.763 4.795 -2.278
0.142 -0.247 5.978
ATOMIC_POSITIONS angstrom
Ag -1.381 2.398 -1.139
Ag 1.533 2.398 0.925
Ag 2.843 0.123 -0.925
Ag 0.071 -0.123 2.989
Dy 0.000 0.000 0.000
Sc 1.462 2.521 -2.064
Sc 2.914 0.000 2.064
```

* formation energy: -0.060 eV/atom

Entry 7:
Ba4NdIr3O12 after structural relaxation, computed with PBE-GGA. Values from VASP.

Geometry as Quantum ESPRESSO input:
```
&SYSTEM
  ibrav = 0, nat = 20, ntyp = 4
/
ATOMIC_SPECIES
O 16.00 O.upf
Ba 137.33 Ba.upf
Ir 192.22 Ir.upf
Nd 144.24 Nd.upf
CELL_PARAMETERS angstrom
6.010 0.007 0.028
3.017 5.198 0.028
3.528 2.034 10.033
ATOMIC_POSITIONS angstrom
O 6.396 2.083 6.398
O 8.090 3.037 8.576
O 6.681 5.480 8.576
O 7.789 4.491 6.105
O 5.318 3.066 8.965
O 5.874 1.759 1.513
O 4.465 4.202 1.513
O 7.237 4.173 1.124
O 5.007 4.492 6.398
O 6.159 5.156 3.691
O 4.766 2.748 3.985
O 7.548 2.747 3.691
Ba 3.318 1.913 6.158
Ba 9.544 5.504 8.612
Ba 9.237 5.326 3.931
Ba 3.011 1.736 1.477
Ir 6.277 3.620 5.045
Ir 6.545 3.774 7.596
Ir 6.009 3.465 2.493
Nd 0.000 0.000 0.000
```

* formation energy without anion corrections: -1945 meV/atom

Entry 8:
PmVCo4 after structural relaxation, computed with PBE-GGA. Values from VASP.

Geometry as Quantum ESPRESSO input:
```
&SYSTEM
  ibrav = 0, nat = 6, ntyp = 3
/
ATOMIC_SPECIES
Co 58.93 Co.upf
V 50.94 V.upf
Pm 145.00 Pm.upf
CELL_PARAMETERS angstrom
4.944 0.000 0.000
2.472 4.281 0.000
2.472 1.427 4.036
ATOMIC_POSITIONS angstrom
Co 3.715 3.564 2.520
Co 6.172 3.564 2.520
Co 4.944 1.435 2.520
Co 4.944 2.854 0.513
V 2.472 1.427 1.009
Pm 0.000 0.000 0.000
```

* formation energy: 0.079 eV/atom

Entry 9:
RbTiGaPb2 after structural relaxation, computed with PBE-GGA. Values from VASP.

Geometry as Quantum ESPRESSO input:
```
&SYSTEM
  ibrav = 0, nat = 5, ntyp = 4
/
ATOMIC_SPECIES
Rb 85.47 Rb.upf
Ti 47.87 Ti.upf
Pb 207.20 Pb.upf
Ga 69.72 Ga.upf
CELL_PARAMETERS angstrom
5.959 0.000 0.000
0.000 5.480 0.000
0.000 0.000 5.959
ATOMIC_POSITIONS angstrom
Rb 0.000 0.000 0.000
Ti 2.979 2.740 2.979
Pb 2.979 0.000 0.000
Pb 0.000 0.000 2.979
Ga 0.000 2.740 0.000
```

* formation energy: 1.649 eV/atom

Entry 10:
PaV3H after structural relaxation, computed with PBE-GGA. Values from VASP.

Geometry as Quantum ESPRESSO input:
```
&SYSTEM
  ibrav = 0, nat = 5, ntyp = 3
/
ATOMIC_SPECIES
Pa 231.04 Pa.upf
H 1.01 H.upf
V 50.94 V.upf
CELL_PARAMETERS angstrom
-0.190 -0.809 -4.026
0.823 -3.956 0.756
-4.023 -0.771 0.345
ATOMIC_POSITIONS angstrom
Pa -1.695 -2.768 -1.463
H 0.000 0.000 0.000
V -0.095 -0.404 -2.013
V -2.012 -0.386 0.172
V 0.412 -1.978 0.378
```

* DFT total energy: -7.7753 eV per atom

Entry 11:
Cs2TlCd3Bi4 after structural relaxation, computed with PBE-GGA. Values from VASP.

Geometry as Quantum ESPRESSO input:
```
&SYSTEM
  ibrav = 0, nat = 10, ntyp = 4
/
ATOMIC_SPECIES
Cs 132.91 Cs.upf
Bi 208.98 Bi.upf
Cd 112.41 Cd.upf
Tl 204.38 Tl.upf
CELL_PARAMETERS angstrom
-3.652 -3.699 -1.686
3.916 -3.809 -0.126
-2.439 -2.892 11.628
ATOMIC_POSITIONS angstrom
Cs 0.133 -4.069 8.641
Cs -2.439 -2.577 2.082
Bi -3.362 -3.671 6.482
Bi 1.056 -2.975 4.240
Bi 0.132 -3.754 -0.906
Bi 0.000 0.000 0.000
Cd -3.963 -4.384 9.348
Cd 1.657 -2.262 1.374
Cd -1.219 -1.446 5.814
Tl -1.087 -5.200 4.908
```

* formation energy: -0.213 eV/atom

Entry 12:
KNaB2 after structural relaxation, computed with PBE-GGA. Values from VASP.

Geometry as Quantum ESPRESSO input:
```
&SYSTEM
  ibrav = 0, nat = 4, ntyp = 3
/
ATOMIC_SPECIES
Na 22.99 Na.upf
B 10.81 B.upf
K 39.10 K.upf
CELL_PARAMETERS angstrom
2.859 -2.883 -2.644
3.280 -2.820 2.182
-0.629 -4.802 0.117
ATOMIC_POSITIONS angstrom
Na 0.000 0.000 0.000
B 4.132 -7.879 -0.258
B 1.377 -2.626 -0.086
K 2.755 -5.253 -0.172
```

* formation energy: 1.823 eV/atom

Entry 13:
La8Pm4Tm after structural relaxation, computed with PBE-GGA. Values from VASP.

Geometry as Quantum ESPRESSO input:
```
&SYSTEM
  ibrav = 0, nat = 13, ntyp = 3
/
ATOMIC_SPECIES
La 138.91 La.upf
Pm 145.00 Pm.upf
Tm 168.93 Tm.upf
CELL_PARAMETERS angstrom
10.463 -0.001 -5.645
-6.754 9.784 -0.001
-2.919 -2.015 7.108
ATOMIC_POSITIONS angstrom
La 4.245 6.538 -4.651
La -1.603 6.116 3.294
La 1.281 0.884 2.373
La -0.491 6.884 -0.911
La 2.393 1.652 -1.831
La -6.829 6.117 6.113
La -3.456 1.230 6.113
La 7.619 1.651 -4.650
Pm 1.855 4.891 -2.823
Pm 5.231 0.000 -2.822
Pm 0.000 0.000 0.000
Pm -6.296 2.877 7.108
Tm -4.836 3.884 3.554
```

* formation energy: 0.363 eV/atom

Entry 14:
LiY2TmTe5 after structural relaxation, computed with PBE-GGA. Values from VASP.

Geometry as Quantum ESPRESSO input:
```
&SYSTEM
  ibrav = 0, nat = 18, ntyp = 4
/
ATOMIC_SPECIES
Te 127.60 Te.upf
Tm 168.93 Tm.upf
Y 88.91 Y.upf
Li 6.94 Li.upf
CELL_PARAMETERS angstrom
4.314 0.000 0.000
-2.157 9.198 0.000
0.000 0.000 13.170
ATOMIC_POSITIONS angstrom
Te 2.157 0.042 3.737
Te 0.000 5.174 8.800
Te 2.157 4.024 2.215
Te 0.000 5.712 4.543
Te 0.000 0.858 0.981
Te 2.157 8.340 7.567
Te 0.000 9.156 10.322
Te 2.157 2.545 6.567
Te 2.157 3.486 11.128
Te 0.000 6.653 13.152
Tm 0.000 3.627 0.120
Tm 2.157 5.571 6.705
Y 2.157 6.851 10.506
Y 0.000 1.937 9.007
Y 2.157 7.261 2.422
Y 0.000 2.348 3.921
Li 2.157 1.072 12.687
Li 0.000 8.126 6.102
```

* formation energy without anion corrections: -1235 meV/atom

Entry 15:
PaSe2F after structural relaxation, computed with PBE-GGA. Values from VASP.

Geometry as Quantum ESPRESSO input:
```
&SYSTEM
  ibrav = 0, nat = 16, ntyp = 3
/
ATOMIC_SPECIES
Se 78.96 Se.upf
F 19.00 F.upf
Pa 231.04 Pa.upf
CELL_PARAMETERS angstrom
-2.563 -1.749 -3.349
6.788 -1.485 -4.418
0.935 -11.557 5.320
ATOMIC_POSITIONS angstrom
Se 3.994 -6.241 -1.353
Se 1.487 -12.524 0.735
Se 0.815 -4.217 -3.089
Se 4.257 -9.491 0.144
Se 0.601 -5.499 0.856
Se 4.209 -4.960 -5.298
Se 0.864 -8.749 2.353
Se 4.880 -13.266 -1.474
F 0.269 -1.346 -1.059
F 3.663 -2.089 -3.268
F 1.146 -8.369 -1.174
F 4.540 -9.112 -3.383
Pa -1.013 -2.221 -2.733
Pa 5.823 -8.237 -1.709
Pa 2.429 -7.495 0.500
Pa 2.380 -2.963 -4.942
```

* formation energy without anion corrections: -1988 meV/atom

Entry 16:
PmTmSi2Pt5 after structural relaxation, computed with PBE-GGA. Values from VASP.

Geometry as Quantum ESPRESSO input:
```
&SYSTEM
  ibrav = 0, nat = 9, ntyp = 4
/
ATOMIC_SPECIES
Si 28.09 Si.upf
Pm 145.00 Pm.upf
Tm 168.93 Tm.upf
Pt 195.08 Pt.upf
CELL_PARAMETERS angstrom
4.222 0.000 0.000
0.000 4.222 0.000
0.000 0.000 8.950
ATOMIC_POSITIONS angstrom
Si 2.111 2.111 1.168
Si 2.111 2.111 7.782
Pm 0.000 0.000 4.475
Tm 0.000 0.000 0.000
Pt 2.111 2.111 4.475
Pt 2.111 0.000 2.316
Pt 2.111 0.000 6.634
Pt 0.000 2.111 2.316
Pt 0.000 2.111 6.634
```

* formation energy without anion corrections: -1052 meV/atom

Entry 17:
RbTiGeTe6 after structural relaxation, computed with PBE-GGA. Values from VASP.

Geometry as Quantum ESPRESSO input:
```
&SYSTEM
  ibrav = 0, nat = 9, ntyp = 4
/
ATOMIC_SPECIES
Te 127.60 Te.upf
Ge 72.64 Ge.upf
Rb 85.47 Rb.upf
Ti 47.87 Ti.upf
CELL_PARAMETERS angstrom
7.524 0.521 0.016
4.159 4.813 -0.870
0.165 -1.788 10.001
ATOMIC_POSITIONS angstrom
Te 1.637 0.350 3.218
Te 6.609 1.641 6.373
Te 9.366 3.447 1.977
Te 5.526 2.058 2.732
Te 10.003 3.303 5.964
Te 2.267 -0.263 7.113
Ge 4.293 1.021 4.938
Rb 4.285 2.396 9.233
Ti 7.732 3.259 4.170
```

* formation energy without anion corrections: -403 meV/atom

Entry 18:
SrCrCl4 after structural relaxation, computed with PBE-GGA. Values from VASP.

Geometry as Quantum ESPRESSO input:
```
&SYSTEM
  ibrav = 0, nat = 12, ntyp = 3
/
ATOMIC_SPECIES
Cl 35.45 Cl.upf
Cr 52.00 Cr.upf
Sr 87.62 Sr.upf
CELL_PARAMETERS angstrom
7.037 -0.534 0.000
-1.721 6.930 0.000
-2.658 -3.198 6.730
ATOMIC_POSITIONS angstrom
Cl -0.336 1.032 3.052
Cl 2.708 1.369 0.210
Cl 3.854 -1.299 3.052
Cl 2.994 2.167 3.678
Cl -1.196 4.497 3.678
Cl -0.050 1.829 6.520
Cl 3.569 -2.096 6.520
Cl -0.910 5.294 0.210
Cr -2.620 3.598 5.338
Cr 5.278 -0.400 1.393
Sr 1.759 -0.133 5.036
Sr 0.899 3.332 1.694
```

* formation energy without anion corrections: -1680 meV/atom

Entry 19:
Zr2CrNiH after structural relaxation, computed with PBE-GGA. Values from VASP.

Geometry as Quantum ESPRESSO input:
```
&SYSTEM
  ibrav = 0, nat = 5, ntyp = 4
/
ATOMIC_SPECIES
Zr 91.22 Zr.upf
Cr 52.00 Cr.upf
Ni 58.69 Ni.upf
H 1.01 H.upf
CELL_PARAMETERS angstrom
-3.335 -0.809 2.982
-0.193 -4.324 -1.388
2.284 -0.848 2.324
ATOMIC_POSITIONS angstrom
Zr -0.096 -2.162 -0.694
Zr -1.667 -0.404 1.491
Cr -0.622 -2.991 1.959
Ni 1.142 -0.424 1.162
H 0.000 0.000 0.000
```

* DFT total energy: -7.3096 eV per atom

Entry 20:
DyHo2Ti after structural relaxation, computed with PBE-GGA. Values from VASP.

Geometry as Quantum ESPRESSO input:
```
&SYSTEM
  ibrav = 0, nat = 4, ntyp = 3
/
ATOMIC_SPECIES
Dy 162.50 Dy.upf
Ho 164.93 Ho.upf
Ti 47.87 Ti.upf
CELL_PARAMETERS angstrom
4.770 0.000 0.000
0.000 4.759 0.000
0.000 0.000 4.759
ATOMIC_POSITIONS angstrom
Dy 2.385 0.000 0.000
Ho 0.000 2.380 0.000
Ho 0.000 0.000 2.380
Ti 2.385 2.380 2.380
```

* formation energy: 0.199 eV/atom